1.
Density functional theory data (PBE-GGA) for crystalline Pr3Nd2Ni2 at its relaxed geometry.

Cell and atoms, written as extended XYZ:
```
7
Lattice="3.8055 0.0000 0.0000 -1.9028 6.1288 -0.3202 0.0000 -3.2068 8.6278" Properties=species:S:1:pos:R:3 pbc="T T T"
Nd 0.0000 -0.5183 6.8525
Nd 1.9028 3.4404 1.4551
Ni 0.0000 1.2802 1.8331
Ni 1.9028 1.6419 6.4745
Pr 1.9028 0.0486 3.6083
Pr 1.9028 0.0000 0.0000
Pr 0.0000 2.8735 4.6993
```

calculated volume	197.3	Å³ per cell
total energy	-0.192	Ha/atom
N(E_F)	9.26	states/eV/f.u.
M_tot	0.00	μB per atom

2.
Density functional theory data (PBE-GGA) for crystalline Pr2NdNi6 at its relaxed geometry.

Cell and atoms, written as extended XYZ:
```
9
Lattice="4.0166 0.0000 0.0000 0.0000 6.0482 -3.4919 0.0000 0.0000 6.9839" Properties=species:S:1:pos:R:3 pbc="T T T"
Ni 2.0083 4.0343 4.6547
Ni 2.0083 0.0000 4.6584
Ni 2.0083 4.0343 2.3292
Ni 2.0083 6.0482 -1.1665
Ni 2.0083 2.0139 -1.1627
Ni 2.0083 2.0139 1.1627
Nd 0.0000 0.0000 0.0000
Pr 4.0166 4.0322 0.0000
Pr 0.0000 2.0161 3.4920
```

calculated volume	169.7	Å³ per cell
total energy	-0.211	Ha/atom
N(E_F)	10.18	states/eV/f.u.
M_tot	0.08	μB per atom

3.
Density functional theory data (PBE-GGA) for crystalline Pr2NdNi at its relaxed geometry.

Cell and atoms, written as extended XYZ:
```
16
Lattice="-1.1874 5.7968 -2.7967 -5.3372 1.1055 4.5575 6.4088 4.4169 6.4338" Properties=species:S:1:pos:R:3 pbc="T T T"
Pr 3.2692 9.2672 5.1689
Pr 0.9240 7.6509 2.8146
Pr -1.0399 3.6683 5.3800
Pr -1.5640 7.3224 5.5185
Pr -0.8970 2.3805 0.3217
Pr 1.4482 3.9968 2.6760
Pr 0.7811 8.9387 7.8728
Pr -3.3850 2.0520 3.0257
Ni 3.5201 6.7175 3.7694
Ni 0.4130 9.4106 5.0155
Ni -3.6359 4.6017 4.4251
Ni -0.5289 1.9086 3.1790
Nd -2.0203 5.4502 2.2333
Nd 0.4055 6.0827 -0.6173
Nd 1.9044 5.8690 5.9613
Nd -0.5214 5.2365 8.8119
```

calculated volume	469.6	Å³ per cell
relative energy among the computed polymorphs	0	meV per atom
N(E_F)	4.36	states/eV/f.u.
M_tot	0.00	μB per atom

4.
Density functional theory data (PBE-GGA) for crystalline Pr3Nd3Ni2 at its relaxed geometry.

Cell and atoms, written as extended XYZ:
```
16
Lattice="-3.5546 -0.9523 0.8517 0.8894 -2.0148 -6.9166 5.7518 -16.5078 5.5484" Properties=species:S:1:pos:R:3 pbc="T T T"
Nd 3.9310 -13.4551 1.3621
Nd -2.0399 -4.1490 -4.7768
Nd 5.1266 -15.3259 4.2602
Nd -0.8443 -6.0198 -1.8786
Nd -0.1987 -9.4334 -3.0006
Nd 3.2853 -10.0415 2.4841
Ni 1.4788 -11.8015 1.3524
Ni 0.1901 -3.6045 -3.2365
Ni 2.8965 -15.8704 2.7199
Ni 1.6079 -7.6734 -1.8689
Pr -1.7019 -2.4235 -1.4366
Pr -0.3591 -4.6586 1.6683
Pr 3.4457 -14.8163 -2.1848
Pr 2.6734 -10.9810 -1.1202
Pr 4.7885 -17.0514 0.9201
Pr 0.4133 -8.4939 0.6037
```

calculated volume	485.5	Å³ per cell
total energy	-0.188	Ha/atom
N(E_F)	11.06	states/eV/f.u.
M_tot	0.00	μB per atom

5.
Density functional theory data (PBE-GGA) for crystalline PrNd4Ni4 at its relaxed geometry.

Cell and atoms, written as extended XYZ:
```
18
Lattice="5.9317 0.0000 0.0000 0.0000 8.6855 0.0000 0.0000 0.0000 8.6855" Properties=species:S:1:pos:R:3 pbc="T T T"
Nd 3.5400 7.9372 5.9841
Nd 5.3576 3.5945 1.6413
Nd 0.5741 7.0442 3.5945
Nd 2.3918 5.9841 0.7483
Nd 2.3918 2.7014 7.9372
Nd 3.5400 0.7483 2.7014
Nd 5.3576 5.0910 7.0442
Nd 0.5741 1.6413 5.0910
Ni 3.6613 6.7480 3.1751
Ni 0.6954 7.5179 6.2803
Ni 0.6954 1.1676 2.4052
Ni 2.2704 3.1751 1.9375
Ni 5.2363 6.2803 1.1676
Ni 3.6613 1.9375 5.5104
Ni 2.2704 5.5104 6.7480
Ni 5.2363 2.4052 7.5179
Pr 2.9659 4.3427 4.3427
Pr 0.0000 0.0000 0.0000
```

calculated volume	447.5	Å³ per cell
total energy	-0.198	Ha/atom
N(E_F)	7.95	states/eV/f.u.
M_tot	0.00	μB per atom

6.
Density functional theory data (PBE-GGA) for crystalline Pr2NdNi at its relaxed geometry.

Cell and atoms, written as extended XYZ:
```
4
Lattice="-2.1114 2.1981 -2.1515 -0.1112 -0.5509 -3.6882 -8.9472 -6.1168 -0.7035" Properties=species:S:1:pos:R:3 pbc="T T T"
Pr -6.2111 -3.8943 -1.1180
Pr -4.9587 -0.5752 -5.4253
Nd 0.0000 0.0000 0.0000
Ni -5.5849 -2.2348 -3.2716
```

calculated volume	128.3	Å³ per cell
relative energy among the computed polymorphs	273	meV per atom
N(E_F)	6.38	states/eV/f.u.
M_tot	0.11	μB per atom

7.
Density functional theory data (PBE-GGA) for crystalline PrNd4Ni2 at its relaxed geometry.

Cell and atoms, written as extended XYZ:
```
14
Lattice="-1.4618 -0.7501 -6.5506 4.8867 -5.6932 -0.4386 -7.7050 -2.4719 2.0025" Properties=species:S:1:pos:R:3 pbc="T T T"
Nd -4.6817 -4.6046 -1.9724
Nd -3.9234 -1.6730 -4.1549
Nd -2.4197 -6.3835 -3.9511
Nd -0.3567 -7.2421 -0.8318
Nd -1.8603 -2.5316 -1.0356
Nd 1.1061 -3.9491 0.1423
Nd 0.4017 -4.3105 -3.0143
Nd -5.3861 -4.9661 -5.1290
Ni -6.7346 -4.1714 0.2398
Ni -2.0160 -5.2212 -0.6929
Ni 2.4545 -4.7437 -5.2266
Ni -2.2641 -3.6939 -4.2938
Pr -0.6247 -1.3905 -4.9234
Pr -3.6554 -7.5247 -0.0633
```

calculated volume	389.5	Å³ per cell
total energy	-0.189	Ha/atom
N(E_F)	8.92	states/eV/f.u.
M_tot	0.00	μB per atom

8.
Density functional theory data (PBE-GGA) for crystalline PrNd2Ni at its relaxed geometry.

Cell and atoms, written as extended XYZ:
```
4
Lattice="-2.1894 2.1982 -2.0445 -2.2478 -1.4808 -2.5613 -9.1786 -0.6610 5.7422" Properties=species:S:1:pos:R:3 pbc="T T T"
Pr 0.0000 0.0000 0.0000
Nd -6.5994 -0.3595 3.3045
Nd -7.0164 0.4159 -2.1680
Ni -6.8079 0.0282 0.5682
```

calculated volume	127.1	Å³ per cell
relative energy among the computed polymorphs	258	meV per atom
N(E_F)	6.42	states/eV/f.u.
M_tot	0.12	μB per atom